1.
Ce2ZrZn | Alexandria via LeMat-Bulk | GGA-PBE | optimized geometry; symmetry = No. 123; V = 94 Å³/f.u.; calculated formation energy = -33 meV/atom
1.0
3.103 0.000 0.000
0.000 3.103 0.000
0.000 0.000 9.764
Zn Ce Zr
1 2 1
Direct
0.500 0.500 0.000 Zn
0.000 0.000 0.767 Ce
0.000 0.000 0.233 Ce
0.500 0.500 0.500 Zr

=====

2.
KZrPb4 | Alexandria via LeMat-Bulk | GGA-PBE | optimized geometry; symmetry = No. 216; V = 191 Å³/f.u.; calculated formation energy = 284 meV/atom
1.0
-0.159 -5.571 3.269
0.908 -0.019 6.397
-4.941 -1.282 3.960
Pb Zr K
4 1 1
Direct
0.376 0.376 0.872 Pb
0.376 0.872 0.376 Pb
0.872 0.376 0.376 Pb
0.376 0.376 0.376 Pb
0.750 0.750 0.750 Zr
0.000 0.000 0.000 K

=====

3.
Rb2CaAs2O6 | Alexandria via LeMat-Bulk | GGA-PBE | optimized geometry; raw formation energy = -1.83 eV per atom; symmetry = No. 12; V = 199 Å³/f.u.
1.0
6.131 0.000 0.000
-3.066 5.310 -0.312
0.000 -3.404 6.314
Rb O Ca As
2 6 1 2
Direct
0.285 0.571 0.808 Rb
0.715 0.429 0.192 Rb
0.239 0.478 0.335 O
0.761 0.522 0.665 O
0.213 0.961 0.247 O
0.747 0.961 0.247 O
0.787 0.039 0.753 O
0.253 0.039 0.753 O
0.500 0.000 0.500 Ca
0.050 0.100 0.201 As
0.950 0.900 0.799 As

=====

4.
Pu2Ga3Os | Alexandria via LeMat-Bulk | GGA-PBE | optimized geometry; symmetry = No. 71; V = 124 Å³/f.u.; calculated formation energy = 144 meV/atom
1.0
-1.118 1.718 2.153
3.224 -2.522 3.685
4.387 5.518 -4.177
Pu Ga Os
2 3 1
Direct
0.686 0.186 0.371 Pu
0.314 0.814 0.629 Pu
0.000 0.000 0.000 Ga
0.634 0.634 0.268 Ga
0.366 0.366 0.732 Ga
0.000 0.500 0.000 Os

=====

5.
HoLuO2 | Alexandria via LeMat-Bulk | GGA-PBE | optimized geometry; raw formation energy = -2.97 eV per atom; symmetry = No. 166; V = 69 Å³/f.u.
1.0
3.510 0.000 0.000
1.755 3.040 0.000
1.755 1.013 6.432
O Lu Ho
2 1 1
Direct
0.886 0.886 0.341 O
0.114 0.114 0.659 O
0.500 0.500 0.500 Lu
0.000 0.000 0.000 Ho

=====

6.
Ho2TmTe | Alexandria via LeMat-Bulk | GGA-PBE | optimized geometry; raw formation energy = -0.52 eV per atom; symmetry = No. 160; V = 124 Å³/f.u.
1.0
-2.147 -1.030 -3.023
-1.640 -3.480 -0.099
-9.120 2.076 3.321
Ho Te Tm
2 1 1
Direct
0.073 0.073 0.780 Ho
0.260 0.260 0.219 Ho
0.667 0.667 0.000 Te
0.500 0.500 0.501 Tm

=====

7.
BaZr2Pt | Alexandria via LeMat-Bulk | GGA-PBE | optimized geometry; symmetry = No. 166; V = 124 Å³/f.u.; calculated formation energy = -152 meV/atom
1.0
-7.637 -1.945 -0.902
-5.505 -3.914 -4.160
-5.522 -5.692 -0.175
Zr Ba Pt
2 1 1
Direct
0.461 0.461 0.461 Zr
0.039 0.039 0.039 Zr
0.250 0.250 0.250 Ba
0.750 0.750 0.750 Pt

=====

8.
Ba2VC2N6 | Alexandria via LeMat-Bulk | GGA-PBE | optimized geometry; raw formation energy = -0.35 eV per atom; symmetry = No. 166; V = 139 Å³/f.u.
1.0
-3.019 -3.697 2.186
4.599 -1.310 -2.168
0.591 2.960 5.821
N Ba V C
6 2 1 2
Direct
0.801 0.052 0.303 N
0.199 0.948 0.697 N
0.251 0.052 0.303 N
0.749 0.498 0.696 N
0.749 0.948 0.697 N
0.251 0.502 0.304 N
0.281 0.562 0.843 Ba
0.719 0.438 0.157 Ba
0.500 0.000 0.500 V
0.897 0.794 0.691 C
0.103 0.206 0.309 C

=====

9.
Ba3TbCe2Te6 | Alexandria via LeMat-Bulk | GGA-PBE | optimized geometry; raw formation energy = -1.52 eV per atom; symmetry = No. 12; V = 444 Å³/f.u.
1.0
-2.598 2.930 -7.041
-4.700 -4.952 4.277
-0.706 6.882 4.662
Te Ba Ce Tb
6 3 2 1
Direct
0.074 0.400 0.221 Te
0.252 0.252 0.776 Te
0.926 0.600 0.779 Te
0.600 0.926 0.779 Te
0.400 0.074 0.221 Te
0.748 0.748 0.224 Te
0.500 0.500 0.500 Ba
0.169 0.831 0.500 Ba
0.831 0.169 0.500 Ba
0.666 0.334 0.000 Ce
0.334 0.666 0.000 Ce
0.000 0.000 0.000 Tb

=====

10.
CoCuNiSn2 | Alexandria via LeMat-Bulk | GGA-PBE | optimized geometry; symmetry = No. 123; V = 101 Å³/f.u.; calculated formation energy = 643 meV/atom
1.0
-4.698 -0.512 -0.010
0.389 -3.509 -2.806
0.310 -2.924 3.699
Sn Cu Ni Co
2 1 1 1
Direct
0.500 0.000 0.000 Sn
0.000 0.000 0.500 Sn
0.000 0.500 0.000 Cu
0.500 0.500 0.500 Ni
0.000 0.000 0.000 Co

=====

11.
InGeTeO6 | Alexandria via LeMat-Bulk | GGA-PBE | optimized geometry; raw formation energy = -1.27 eV per atom; symmetry = No. 163; V = 111 Å³/f.u.
1.0
5.218 0.000 0.000
-2.609 4.518 0.000
0.000 0.000 9.394
O In Te Ge
12 2 2 2
Direct
0.652 0.018 0.365 O
0.652 0.635 0.135 O
0.635 0.652 0.635 O
0.365 0.018 0.135 O
0.982 0.635 0.365 O
0.635 0.982 0.865 O
0.018 0.365 0.635 O
0.348 0.982 0.635 O
0.348 0.365 0.865 O
0.982 0.348 0.135 O
0.365 0.348 0.365 O
0.018 0.652 0.865 O
0.000 0.000 0.500 In
0.000 0.000 0.000 In
0.333 0.667 0.250 Te
0.667 0.333 0.750 Te
0.667 0.333 0.250 Ge
0.333 0.667 0.750 Ge

=====

12.
PrZn4CuPd2 | Alexandria via LeMat-Bulk | GGA-PBE | optimized geometry; symmetry = No. 166; V = 140 Å³/f.u.; calculated formation energy = -377 meV/atom
1.0
-2.858 -2.037 2.506
-1.435 -3.913 -1.107
5.070 -5.626 4.918
Zn Pr Cu Pd
4 1 1 2
Direct
0.596 0.596 0.211 Zn
0.132 0.132 0.605 Zn
0.404 0.404 0.789 Zn
0.868 0.868 0.395 Zn
0.000 0.000 0.000 Pr
0.500 0.500 0.500 Cu
0.767 0.767 0.700 Pd
0.233 0.233 0.300 Pd